(1)
! MgInBi2 | Alexandria | PBE-GGA | optimized geometry; values from VASP
&SYSTEM
  ibrav = 0, nat = 4, ntyp = 3
/
ATOMIC_SPECIES
Bi 208.98 Bi.upf
Mg 24.30 Mg.upf
In 114.82 In.upf
ATOMIC_POSITIONS angstrom
Bi -1.370 5.238 1.948
Bi -1.761 1.615 1.922
Mg -5.048 7.024 5.782
In -3.477 3.643 3.847
CELL_PARAMETERS angstrom
-4.517 0.479 1.201
-1.227 0.100 4.534
-1.216 6.661 1.959
! Space group: No. 160
! Calculated total energy: -3.01 eV per atom

---

(2)
! La2AsP | Alexandria | PBE-GGA | optimized geometry; values from VASP
&SYSTEM
  ibrav = 0, nat = 4, ntyp = 3
/
ATOMIC_SPECIES
As 74.92 As.upf
P 30.97 P.upf
La 138.91 La.upf
ATOMIC_POSITIONS angstrom
As -0.049 0.712 3.352
P -1.607 2.538 0.522
La 0.000 0.000 0.000
La -2.838 -0.058 2.390
CELL_PARAMETERS angstrom
-4.396 1.767 -0.440
-1.280 -1.884 5.221
1.181 3.308 1.483
! ΔE to the lowest computed polymorph: 355.2 meV per atom
! Space group: No. 47
! Calculated total energy: -6.20 eV per atom

---

(3)
! Ho2Ga2Fe15 | Alexandria | PBE-GGA | optimized geometry; values from VASP
&SYSTEM
  ibrav = 0, nat = 19, ntyp = 3
/
ATOMIC_SPECIES
Fe 55.84 Fe.upf
Ga 69.72 Ga.upf
Ho 164.93 Ho.upf
ATOMIC_POSITIONS angstrom
Fe -1.112 2.875 0.806
Fe -4.753 -1.225 1.282
Fe -3.934 2.015 -2.490
Fe -3.007 3.399 2.266
Fe -2.344 0.183 -2.151
Fe -2.979 4.101 -0.199
Fe -5.321 3.722 -1.172
Fe -3.998 0.424 3.094
Fe -5.367 2.578 2.843
Fe -6.597 -0.109 -0.107
Fe -2.391 -0.964 1.874
Fe -6.373 0.467 2.230
Fe -4.717 -0.337 -1.836
Fe -6.327 1.611 -1.785
Fe -5.097 4.297 1.165
Ga -1.193 0.427 0.108
Ga -10.501 3.761 0.950
Ho -4.053 1.452 0.367
Ho -7.641 2.737 0.692
CELL_PARAMETERS angstrom
-4.689 0.365 -4.301
-4.781 -1.927 3.748
-2.224 5.751 1.612
! Space group: No. 166
! Calculated total energy: -7.55 eV per atom

---

(4)
! TbNdDy3 | Alexandria | PBE-GGA | optimized geometry; values from VASP
&SYSTEM
  ibrav = 0, nat = 10, ntyp = 3
/
ATOMIC_SPECIES
Dy 162.50 Dy.upf
Tb 158.93 Tb.upf
Nd 144.24 Nd.upf
ATOMIC_POSITIONS angstrom
Dy -0.891 8.146 10.136
Dy 2.679 2.834 0.794
Dy 2.679 3.711 5.784
Dy -0.891 7.269 5.146
Dy 0.895 8.576 2.353
Dy 0.893 2.404 8.577
Tb 0.893 1.528 3.586
Tb 0.895 9.452 7.344
Nd 0.894 5.927 7.958
Nd 0.894 5.053 2.972
CELL_PARAMETERS angstrom
3.571 0.008 0.009
-1.782 9.223 0.951
-0.001 1.749 9.970
! Space group: No. 2
! Calculated total energy: -4.62 eV per atom

---

(5)
! USnSe | Alexandria | PBE-GGA | optimized geometry; values from VASP
&SYSTEM
  ibrav = 0, nat = 3, ntyp = 3
/
ATOMIC_SPECIES
Se 78.96 Se.upf
U 238.03 U.upf
Sn 118.71 Sn.upf
ATOMIC_POSITIONS angstrom
Se 0.000 0.000 3.697
U 1.760 1.760 2.316
Sn 1.760 1.760 5.992
CELL_PARAMETERS angstrom
3.520 0.000 0.000
0.000 3.520 0.000
-1.760 -1.760 6.002
! ΔE_f (raw): -0.397 eV per atom
! Space group: No. 107
! Calculated total energy: -6.66 eV per atom

---

(6)
! La2TaFe | Alexandria | PBE-GGA | optimized geometry; values from VASP
&SYSTEM
  ibrav = 0, nat = 4, ntyp = 3
/
ATOMIC_SPECIES
La 138.91 La.upf
Ta 180.95 Ta.upf
Fe 55.84 Fe.upf
ATOMIC_POSITIONS angstrom
La 0.000 0.000 0.000
La 1.749 2.647 0.000
Ta 1.749 0.000 2.425
Fe 0.000 2.647 2.425
CELL_PARAMETERS angstrom
3.498 0.000 0.000
0.000 5.294 0.000
0.000 0.000 4.849
! ΔE to the lowest computed polymorph: 513.5 meV per atom
! Space group: No. 47
! Calculated total energy: -6.85 eV per atom

---

(7)
! BeAlAsBr2 | Alexandria | PBE-GGA | optimized geometry; values from VASP
&SYSTEM
  ibrav = 0, nat = 5, ntyp = 4
/
ATOMIC_SPECIES
Br 79.90 Br.upf
Al 26.98 Al.upf
As 74.92 As.upf
Be 9.01 Be.upf
ATOMIC_POSITIONS angstrom
Br 0.722 -1.118 2.076
Br -2.309 0.103 0.859
Al 0.000 0.000 0.000
As 0.501 2.312 1.071
Be -1.085 1.296 4.006
CELL_PARAMETERS angstrom
-4.618 0.206 1.718
1.445 -2.237 4.151
1.003 4.623 2.142
! ΔE_f (raw): 0.468 eV per atom
! ΔE to the lowest computed polymorph: 278.2 meV per atom
! Space group: No. 123
! Calculated total energy: -2.62 eV per atom

---

(8)
! MgBePt2 | Alexandria | PBE-GGA | optimized geometry; values from VASP
&SYSTEM
  ibrav = 0, nat = 4, ntyp = 3
/
ATOMIC_SPECIES
Mg 24.30 Mg.upf
Pt 195.08 Pt.upf
Be 9.01 Be.upf
ATOMIC_POSITIONS angstrom
Mg 3.012 3.012 3.012
Pt 4.518 4.518 4.518
Pt 1.506 1.506 1.506
Be 0.000 0.000 0.000
CELL_PARAMETERS angstrom
0.000 3.012 3.012
3.012 0.000 3.012
3.012 3.012 0.000
! Space group: No. 225
! Calculated total energy: -5.02 eV per atom